DFT (GGA+U) results for a geometry-optimized K2MoCl3F3 structure.

```
K2MoCl3F3
1.0
7.191 0.000 0.000
-3.595 6.227 0.000
0.000 0.000 3.916
K Mo Cl F
2 1 3 3
Direct
0.333 0.667 0.000 K
0.667 0.333 0.000 K
0.000 0.000 0.500 Mo
0.000 0.664 0.500 Cl
0.336 0.336 0.500 Cl
0.664 0.000 0.500 Cl
0.000 0.209 0.000 F
0.209 0.000 0.000 F
0.791 0.791 0.000 F
```

Electronic total energy in eV per atom: -3.9586
Magnetic moment in μB/cell: 2.0